Model P:
Tl2CoSb: PBEsol geometry, meta-GGA SCAN.

Results
Size of the total moment   2.16 Bohr magnetons per cell
Space-group type   P4/mmm (123)

abc: 4.1844 4.1844 5.1700
angles: 90.00 90.00 90.00
Sites, in units of the cell vectors:
Tl (0.0000, 0.5000, 0.0000)
Co (0.5000, 0.5000, 0.5000)
Sb (0.0000, 0.0000, 0.5000)
Tl (0.5000, 0.0000, 0.0000)

---

Model Q:
Tl2CoSb: PBEsol geometry, meta-GGA SCAN.

Results
Size of the total moment   1.78 Bohr magnetons per cell
Space-group type   C2/m (12)

abc: 3.5619 4.6312 6.1829
angles: 111.33 105.91 92.14
Sites, in units of the cell vectors:
Co (0.5000, 0.0000, 0.0000)
Tl (0.0000, 0.0000, 0.5000)
Sb (0.0000, 0.5000, 0.0000)
Tl (0.5000, 0.5000, 0.5000)

---

Which structure above is the least stable? It is model P.